Computed, not measured: a relaxed HfSe crystal at the PBE level of DFT.

Results
- Density: 8.00 Mg/m³
- Formation energy (no corrections): -1.65 eV per formula unit
- Calculated volume: 321 Å³ per cell

a b c (Å): 9.7108 9.7108 3.9252
angles (deg): 90.00 90.00 120.00
Last column: nearest neighbours and their distance in Å.
Positions (direct):
Se 0.6990 0.0305 0.2500  4 Hf 2.65-2.70
Se 0.0305 0.3315 0.7500  4 Hf 2.65-2.70
Se 0.6685 0.6990 0.7500  4 Hf 2.65-2.70
Se 0.3010 0.9695 0.7500  4 Hf 2.65-2.70
Se 0.3315 0.3010 0.2500  4 Hf 2.65-2.70
Se 0.9695 0.6685 0.2500  4 Hf 2.65-2.70
Hf 0.6482 0.5068 0.2500  4 Se 2.65-2.70
Hf 0.8587 0.3518 0.2500  4 Se 2.65-2.70
Hf 0.1413 0.6482 0.7500  4 Se 2.65-2.70
Hf 0.4932 0.1413 0.2500  4 Se 2.65-2.70
Hf 0.5068 0.8587 0.7500  4 Se 2.65-2.70
Hf 0.3518 0.4932 0.7500  4 Se 2.65-2.70